i | Below is an optimized crystal structure of Mg6MnCoO8, with properties calculated at the PBE with a Hubbard U level.

Cell: 4.285 4.285 8.643 Å, 90.00 90.00 90.00°
Element x y z (fractional)
Mg1 0.000 0.000 0.000
Mg2 0.000 0.500 0.247
Mg3 0.000 0.500 0.753
Mg4 0.500 0.000 0.247
Mg5 0.500 0.000 0.753
Mg6 0.500 0.500 0.000
Mn1 0.000 0.000 0.500
Co1 0.500 0.500 0.500
O1 0.000 0.000 0.243
O2 0.000 0.000 0.757
O3 0.000 0.500 0.000
O4 0.000 0.500 0.500
O5 0.500 0.000 0.000
O6 0.500 0.000 0.500
O7 0.500 0.500 0.245
O8 0.500 0.500 0.755

Computed properties:
DOS(E_F), states/eV/atom: 0.04


ii | Below is an optimized crystal structure of Mg6MnCoO8, with properties calculated at the PBE with a Hubbard U level.

Cell: 4.281 4.281 8.628 Å, 90.00 90.00 90.00°
Element x y z (fractional)
Mg1 0.000 0.000 0.000
Mg2 0.000 0.000 0.500
Mg3 0.000 0.500 0.244
Mg4 0.000 0.500 0.756
Mg5 0.500 0.000 0.244
Mg6 0.500 0.000 0.756
Mn1 0.500 0.500 0.500
Co1 0.500 0.500 0.000
O1 0.000 0.000 0.250
O2 0.000 0.000 0.750
O3 0.000 0.500 0.000
O4 0.000 0.500 0.500
O5 0.500 0.000 0.000
O6 0.500 0.000 0.500
O7 0.500 0.500 0.247
O8 0.500 0.500 0.753

Computed properties:
DOS(E_F), states/eV/atom: 0.27


What is the most stable structure shown above? It is i.